Record 1
! LaCr2Si, optimized geometry, DFT PBE; values from VASP
&SYSTEM
  ibrav = 0, nat = 4, ntyp = 3
/
ATOMIC_SPECIES
Cr 52.00 Cr.upf
La 138.91 La.upf
Si 28.09 Si.upf
ATOMIC_POSITIONS crystal
Cr 0.002 0.002 0.994
Cr 0.695 0.695 0.915
La 0.498 0.498 0.507
Si 0.305 0.305 0.085
CELL_PARAMETERS angstrom
-0.690 4.082 -0.695
-1.032 1.329 -3.846
-5.746 1.129 -0.362
! Formation energy without anion corrections in meV per atom: -123
! Crystal system: trigonal

---

Record 2
! LaCrSi2, optimized geometry, DFT PBE; values from VASP
&SYSTEM
  ibrav = 0, nat = 4, ntyp = 3
/
ATOMIC_SPECIES
Cr 52.00 Cr.upf
La 138.91 La.upf
Si 28.09 Si.upf
ATOMIC_POSITIONS crystal
Cr 0.000 0.000 0.413
La 0.500 0.500 0.743
Si 0.000 0.000 0.069
Si 0.500 0.500 0.275
CELL_PARAMETERS angstrom
3.251 0.000 0.000
0.000 3.251 0.000
0.000 0.000 6.852
! Formation energy without anion corrections in meV per atom: -12
! Crystal system: tetragonal

---

Record 3
! LaCrSi2, optimized geometry, DFT PBE; values from VASP
&SYSTEM
  ibrav = 0, nat = 4, ntyp = 3
/
ATOMIC_SPECIES
Cr 52.00 Cr.upf
Si 28.09 Si.upf
La 138.91 La.upf
ATOMIC_POSITIONS crystal
Cr 0.000 0.000 0.000
Si 0.250 0.250 0.250
Si 0.750 0.750 0.750
La 0.500 0.500 0.500
CELL_PARAMETERS angstrom
0.982 -4.665 -0.763
-2.541 -2.500 -3.255
2.073 -1.386 -4.134
! Formation energy without anion corrections in meV per atom: 50
! Crystal system: cubic

---

Record 4
! LaCrSi2, optimized geometry, DFT PBE; values from VASP
&SYSTEM
  ibrav = 0, nat = 4, ntyp = 3
/
ATOMIC_SPECIES
Cr 52.00 Cr.upf
La 138.91 La.upf
Si 28.09 Si.upf
ATOMIC_POSITIONS crystal
Cr 0.500 0.250 0.250
La 0.500 0.750 0.750
Si 0.000 0.927 0.073
Si 0.000 0.573 0.427
CELL_PARAMETERS angstrom
3.166 0.000 0.000
0.000 3.143 -0.002
0.000 3.150 6.900
! Formation energy without anion corrections in meV per atom: -228
! Crystal system: orthorhombic

---

Record 5
! LaCrSi2, optimized geometry, DFT PBE; values from VASP
&SYSTEM
  ibrav = 0, nat = 4, ntyp = 3
/
ATOMIC_SPECIES
Cr 52.00 Cr.upf
La 138.91 La.upf
Si 28.09 Si.upf
ATOMIC_POSITIONS crystal
Cr 0.500 0.500 0.000
La 0.750 0.250 0.500
Si 0.000 0.000 0.000
Si 0.250 0.750 0.500
CELL_PARAMETERS angstrom
-1.476 -0.787 5.213
-1.821 -5.051 1.070
4.423 2.058 -2.486
! Formation energy without anion corrections in meV per atom: 139
! Crystal system: tetragonal

---

Record 6
! LaCrSi2, optimized geometry, DFT PBE; values from VASP
&SYSTEM
  ibrav = 0, nat = 4, ntyp = 3
/
ATOMIC_SPECIES
Cr 52.00 Cr.upf
La 138.91 La.upf
Si 28.09 Si.upf
ATOMIC_POSITIONS crystal
Cr 0.750 0.750 0.750
La 0.250 0.250 0.250
Si 0.028 0.028 0.879
Si 0.472 0.472 0.621
CELL_PARAMETERS angstrom
4.312 -0.076 0.064
2.664 3.391 0.064
1.761 0.837 5.374
! Formation energy without anion corrections in meV per atom: -420
! Crystal system: monoclinic

---

Record 7
! LaCr2Si, optimized geometry, DFT PBE; values from VASP
&SYSTEM
  ibrav = 0, nat = 4, ntyp = 3
/
ATOMIC_SPECIES
Cr 52.00 Cr.upf
La 138.91 La.upf
Si 28.09 Si.upf
ATOMIC_POSITIONS crystal
Cr 0.000 0.000 0.000
Cr 0.500 0.500 0.000
La 0.500 0.000 0.500
Si 0.000 0.500 0.500
CELL_PARAMETERS angstrom
4.368 0.000 0.000
0.000 4.368 0.000
0.000 0.000 3.671
! Formation energy without anion corrections in meV per atom: 362
! Crystal system: tetragonal

---

Record 8
! LaCr2Si, optimized geometry, DFT PBE; values from VASP
&SYSTEM
  ibrav = 0, nat = 4, ntyp = 3
/
ATOMIC_SPECIES
Cr 52.00 Cr.upf
La 138.91 La.upf
Si 28.09 Si.upf
ATOMIC_POSITIONS crystal
Cr 0.996 0.996 0.996
Cr 0.269 0.269 0.269
La 0.502 0.502 0.502
Si 0.733 0.733 0.733
CELL_PARAMETERS angstrom
-2.742 -7.887 2.881
-1.265 -8.735 0.344
0.282 -8.322 2.946
! Formation energy without anion corrections in meV per atom: 505
! Crystal system: trigonal

---

Among the records above, which one has the highest formation energy without anion corrections?
number 8

---

Which value of formation energy without anion corrections does entry 4 give?
-228 meV per atom

---

Which of these has the lowest formation energy without anion corrections?
number 6